Record 1
Entry from Alexandria: a geometry-optimized KOsSe3 structure (GGA-PBE).

```
5
Lattice="5.037 0.000 0.000 0.000 5.037 0.000 0.000 0.000 5.037" Properties=species:S:1:pos:R:3 pbc="T T T"
Os 0.000 0.000 0.000
K 2.519 2.519 2.519
Se 0.000 0.000 2.519
Se 0.000 2.519 0.000
Se 2.519 0.000 0.000
```

Output
The energy relative to the lowest polymorph listed for this composition is 0.000 eV/atom. The value obtained for the formation energy without anion corrections is 55.1 meV per atom.

***

Record 2
Entry from Alexandria: a geometry-optimized Tb4Ni3Pd structure (GGA-PBE).

```
8
Lattice="3.708 0.000 0.000 0.000 4.377 0.000 0.000 0.000 10.271" Properties=species:S:1:pos:R:3 pbc="T T T"
Ni 0.000 2.188 5.894
Tb 0.000 0.000 1.445
Tb 1.854 2.188 3.786
Tb 1.854 0.000 6.549
Tb 0.000 2.188 8.777
Pd 1.854 2.188 0.816
Ni 0.000 0.000 4.393
Ni 1.854 0.000 9.422
```

Output
The energy of formation from the pure elements is -0.5467 eV/atom.

***

Record 3
Entry from Alexandria: a geometry-optimized NbOsAu2 structure (GGA-PBE).

```
8
Lattice="-5.281 -1.304 -2.238 2.413 -4.322 -3.177 -2.357 -6.517 1.630" Properties=species:S:1:pos:R:3 pbc="T T T"
Au -4.245 -9.868 -3.557
Os -4.536 -5.317 -1.657
Au -2.876 -6.939 -0.765
Nb -1.434 -2.813 -2.707
Os 0.000 0.000 0.000
Nb -0.689 -6.826 -2.127
Au 0.330 -4.476 -1.828
Au -3.659 -3.002 -1.418
```

Output
The energy relative to the lowest polymorph listed for this composition is 1.105 eV/atom. The energy of formation from the pure elements is 1.5368 eV/atom.

***

Record 4
Entry from Alexandria: a geometry-optimized CaZrMo structure (GGA-PBE).

```
3
Lattice="7.970 -0.005 0.004 7.133 3.033 -0.004 0.837 -0.895 2.903" Properties=species:S:1:pos:R:3 pbc="T T T"
Zr 5.221 0.311 2.010
Ca 1.036 -0.840 2.862
Mo 10.519 1.768 0.932
```

Output
The energy relative to the lowest polymorph listed for this composition is 0.069 eV/atom. The energy of formation from the pure elements is 0.4401 eV/atom.

***

Record 5
Entry from Alexandria: a geometry-optimized Sm2TmPd structure (GGA-PBE).

```
4
Lattice="3.706 0.002 0.013 1.853 3.187 -0.326 -0.034 -1.101 10.008" Properties=species:S:1:pos:R:3 pbc="T T T"
Tm 3.224 1.591 8.080
Sm 5.086 2.345 5.063
Sm 1.390 -0.092 2.252
Pd 3.250 0.754 0.108
```

Output
The energy relative to the lowest polymorph listed for this composition is 0.103 eV/atom. The energy of formation from the pure elements is -0.3195 eV/atom.

***

Record 6
Entry from Alexandria: a geometry-optimized AcPm2Ir2 structure (GGA-PBE).

```
10
Lattice="-4.882 5.448 -1.843 -0.332 -3.688 -6.573 -2.321 -3.409 4.351" Properties=species:S:1:pos:R:3 pbc="T T T"
Ir -2.576 0.977 -0.297
Ir -4.897 1.284 -4.802
Pm -2.521 -3.969 -4.358
Ac -6.158 -0.218 -2.522
Ir -4.960 -2.625 -3.768
Ir -2.638 -2.933 0.737
Pm -4.672 -3.686 -1.154
Pm -2.864 2.037 -2.912
Pm -5.014 2.321 0.293
Ac -1.377 -1.430 -1.543
```

Output
The energy relative to the lowest polymorph listed for this composition is 0.151 eV/atom. The energy of formation from the pure elements is -0.4672 eV/atom.

***

Record 7
Entry from Alexandria: a geometry-optimized ZrH2Rh structure (GGA-PBE).

```
16
Lattice="-1.151 -5.032 -3.015 5.371 0.487 -2.865 -1.286 -2.704 5.005" Properties=species:S:1:pos:R:3 pbc="T T T"
H -0.113 -3.785 2.054
H 1.731 -4.883 -1.043
Zr 1.612 -6.742 -0.093
Zr 1.322 -0.507 -0.782
H -0.542 -6.199 0.322
Rh 0.188 -1.945 1.622
H -0.381 -4.078 -2.295
Zr 3.008 -3.177 -0.649
H 3.316 -3.171 1.420
H 1.203 -2.365 0.168
Zr -0.073 -4.071 -0.226
H 3.047 -3.464 -2.929
Rh 2.747 -5.304 -2.497
Rh 3.242 -1.547 -3.031
Rh -0.308 -5.702 2.156
H 3.477 -1.049 -1.197
```

Output
The energy relative to the lowest polymorph listed for this composition is 0.000 eV/atom.

***

Record 8
Entry from Alexandria: a geometry-optimized ThUC4 structure (GGA-PBE).

```
6
Lattice="3.858 -0.440 -0.071 1.050 3.739 -0.071 0.600 0.403 5.796" Properties=species:S:1:pos:R:3 pbc="T T T"
C 2.863 1.924 5.075
C 0.857 0.576 2.887
Th 0.000 0.000 0.000
U 2.754 1.851 2.827
C 2.645 1.777 0.578
C 4.651 3.126 2.766
```

Output
The energy of formation from the pure elements is -0.1385 eV/atom.

***

Record 9
Entry from Alexandria: a geometry-optimized Lu2PbSe4 structure (GGA-PBE).

```
28
Lattice="4.059 0.000 0.000 0.000 12.724 0.000 0.000 0.000 14.695" Properties=species:S:1:pos:R:3 pbc="T T T"
Se 1.015 8.932 9.757
Pb 3.044 3.251 9.911
Pb 3.044 9.613 12.132
Se 3.044 3.792 4.938
Lu 1.015 12.004 1.690
Lu 1.015 5.247 13.356
Se 3.044 7.520 6.281
Se 1.015 11.566 13.629
Se 1.015 1.577 7.888
Se 1.015 6.891 3.170
Se 3.044 5.833 11.526
Pb 1.015 3.111 2.563
Lu 1.015 5.642 5.658
Lu 3.044 7.477 1.340
Se 3.044 12.195 10.517
Se 3.044 4.785 0.541
Lu 3.044 1.115 6.008
Lu 1.015 11.609 8.687
Se 1.015 0.529 4.178
Lu 3.044 0.720 13.005
Se 1.015 2.570 12.286
Se 1.015 5.204 8.414
Se 3.044 1.158 1.066
Pb 1.015 9.473 4.785
Lu 3.044 7.082 9.037
Se 3.044 10.154 2.409
Se 3.044 11.147 6.807
Se 1.015 7.939 14.155
```

Output
The value obtained for the formation energy without anion corrections is -1470.3 meV per atom.

***

Record 10
Entry from Alexandria: a geometry-optimized U2S3 structure (GGA-PBE).

```
20
Lattice="3.915 0.000 0.000 0.000 10.124 0.000 0.000 0.000 12.052" Properties=species:S:1:pos:R:3 pbc="T T T"
S 2.937 5.396 4.557
U 0.979 1.805 0.272
S 2.937 8.637 6.611
S 0.979 8.338 3.539
U 0.979 6.867 5.754
S 0.979 3.276 2.486
S 0.979 1.487 5.441
U 2.937 10.045 4.220
U 2.937 4.983 1.806
S 0.979 9.791 10.583
S 0.979 6.549 0.585
S 0.979 4.728 7.494
S 2.937 1.786 8.512
U 0.979 0.080 7.831
U 0.979 5.142 10.246
U 2.937 8.320 11.780
S 2.937 6.848 9.565
S 2.937 3.575 11.467
S 2.937 0.334 1.469
U 2.937 3.258 6.298
```

Output
The value obtained for the formation energy without anion corrections is -1302.8 meV per atom.

***

Record 11
Entry from Alexandria: a geometry-optimized TbCeGaIr structure (GGA-PBE).

```
4
Lattice="4.177 0.000 0.000 0.000 4.435 0.000 -2.089 0.000 5.003" Properties=species:S:1:pos:R:3 pbc="T T T"
Ir 0.000 0.000 4.219
Ce 0.000 0.000 1.479
Tb 2.089 2.217 3.618
Ga 2.089 2.217 0.691
```

Output
The energy relative to the lowest polymorph listed for this composition is 0.000 eV/atom. The energy of formation from the pure elements is -0.6753 eV/atom.

***

Record 12
Entry from Alexandria: a geometry-optimized Th4TePd15 structure (GGA-PBE).

```
20
Lattice="4.209 0.000 0.000 0.000 4.209 0.000 0.000 0.000 20.943" Properties=species:S:1:pos:R:3 pbc="T T T"
Pd 2.104 0.000 10.471
Pd 2.104 0.000 6.269
Pd 0.000 2.104 2.113
Te 0.000 0.000 0.000
Pd 2.104 2.104 8.371
Pd 0.000 2.104 14.673
Pd 2.104 2.104 0.000
Pd 0.000 2.104 6.269
Pd 2.104 0.000 14.673
Th 0.000 0.000 12.612
Th 0.000 0.000 4.047
Pd 2.104 2.104 16.736
Pd 2.104 2.104 4.207
Th 0.000 0.000 8.331
Pd 0.000 2.104 18.830
Pd 0.000 2.104 10.471
Pd 2.104 0.000 18.830
Pd 2.104 0.000 2.113
Pd 2.104 2.104 12.572
Th 0.000 0.000 16.895
```

Output
The value obtained for the formation energy without anion corrections is -798.0 meV per atom.

***

Record 13
Entry from Alexandria: a geometry-optimized AgSeBrO2 structure (GGA-PBE).

```
10
Lattice="-3.134 -1.408 2.256 1.565 -6.252 -1.727 3.996 1.850 6.708" Properties=species:S:1:pos:R:3 pbc="T T T"
Se 0.732 -2.496 5.076
Br 2.403 0.576 5.570
Ag -2.045 -2.089 1.472
O 0.635 -2.573 1.149
Br 0.024 -6.385 1.666
Se 1.695 -3.313 2.161
Ag 4.472 -3.720 5.764
O 1.792 -3.236 6.088
O 0.362 -3.760 3.774
O 2.065 -2.049 3.463
```

Output
The energy relative to the lowest polymorph listed for this composition is 0.000 eV/atom. The value obtained for the formation energy without anion corrections is -454.1 meV per atom.

***

Record 14
Entry from Alexandria: a geometry-optimized Li2ScAuO4 structure (GGA-PBE).

```
16
Lattice="5.927 0.011 0.020 0.007 5.927 0.020 -2.909 -2.911 5.118" Properties=species:S:1:pos:R:3 pbc="T T T"
Li 1.509 -1.450 2.569
Li 2.967 2.969 0.020
O -1.465 1.605 4.768
O 2.924 0.078 2.950
O 4.490 1.422 0.391
Sc 0.004 2.963 0.010
O 0.101 2.949 2.209
Au 3.018 -2.900 5.138
Au 1.512 1.513 2.579
O 4.525 4.498 0.439
O -1.501 -1.471 4.719
Li 2.963 0.006 0.010
O 2.951 2.923 2.181
O 0.073 0.104 2.978
Sc 4.476 1.519 2.589
Li -1.455 -1.456 2.559
```

Output
The value obtained for the formation energy without anion corrections is -1849.4 meV per atom.

***

Record 15
Entry from Alexandria: a geometry-optimized Sm3ThHg2 structure (GGA-PBE).

```
6
Lattice="3.682 0.000 0.000 0.000 3.682 0.000 0.000 0.000 12.777" Properties=species:S:1:pos:R:3 pbc="T T T"
Hg 1.841 1.841 2.001
Hg 1.841 1.841 10.777
Sm 0.000 0.000 0.000
Th 1.841 1.841 6.389
Sm 0.000 0.000 8.789
Sm 0.000 0.000 3.988
```

Output
The energy of formation from the pure elements is -0.3173 eV/atom.

***

Record 16
Entry from Alexandria: a geometry-optimized YPRhCl2 structure (GGA-PBE).

```
5
Lattice="5.082 0.000 0.000 0.000 5.700 0.000 0.000 0.000 5.082" Properties=species:S:1:pos:R:3 pbc="T T T"
Cl 0.000 0.000 2.541
Cl 2.541 0.000 0.000
Y 0.000 0.000 0.000
Rh 2.541 2.850 2.541
P 0.000 2.850 0.000
```

Output
The energy relative to the lowest polymorph listed for this composition is 0.384 eV/atom. The value obtained for the formation energy without anion corrections is -103.6 meV per atom.

***

Record 17
Entry from Alexandria: a geometry-optimized SrFe2Pb structure (GGA-PBE).

```
4
Lattice="5.827 0.024 0.007 2.496 5.266 -0.007 -3.544 -3.616 2.884" Properties=species:S:1:pos:R:3 pbc="T T T"
Sr 1.442 2.074 1.439
Fe 7.880 5.007 0.000
Fe 3.533 -0.277 1.446
Pb 4.410 2.802 0.000
```

Output
The energy of formation from the pure elements is 0.4560 eV/atom.

***

Record 18
Entry from Alexandria: a geometry-optimized SrRePtAu2 structure (GGA-PBE).

```
5
Lattice="-4.440 -2.667 -1.420 0.050 -2.804 5.107 -3.021 3.880 2.160" Properties=species:S:1:pos:R:3 pbc="T T T"
Re 0.025 -1.402 2.553
Pt -3.705 -0.795 2.923
Sr 0.000 0.000 0.000
Au -2.220 -1.333 -0.710
Au -1.511 1.940 1.080
```

Output
The energy of formation from the pure elements is 2.3330 eV/atom.

***

Record 19
Entry from Alexandria: a geometry-optimized Sm2InPb5 structure (GGA-PBE).

```
16
Lattice="4.938 0.000 0.000 0.000 6.836 0.000 0.000 0.000 13.694" Properties=species:S:1:pos:R:3 pbc="T T T"
Pb 2.469 5.187 5.172
Pb 0.000 3.418 6.847
Sm 2.469 1.651 11.962
Pb 0.000 6.799 10.229
Pb 0.000 3.455 3.382
Sm 2.469 5.185 1.732
Pb 2.469 5.067 12.019
Pb 0.000 0.000 0.000
Pb 2.469 1.649 8.522
In 0.000 0.000 6.847
Sm 2.469 1.767 5.115
Sm 2.469 5.069 8.579
Pb 2.469 1.769 1.675
Pb 0.000 0.037 3.465
In 0.000 3.418 0.000
Pb 0.000 3.381 10.312
```

Output
The energy of formation from the pure elements is -0.3657 eV/atom.

***

Record 20
Entry from Alexandria: a geometry-optimized Sm6GaNi2I3 structure (GGA-PBE).

```
12
Lattice="-2.413 4.568 4.979 -4.620 -4.353 -3.345 3.460 -5.558 5.039" Properties=species:S:1:pos:R:3 pbc="T T T"
Ni -3.890 -1.401 -0.590
Sm -0.648 0.546 2.851
Sm -1.428 -2.608 -0.091
Sm -2.926 -5.888 3.822
I -1.037 0.360 6.165
I -2.536 -5.702 0.509
Ga 0.000 0.000 0.000
Sm -2.146 -2.735 6.765
Sm 0.754 -4.442 4.561
Ni -3.144 1.616 2.224
Sm -4.328 -0.900 2.112
I -1.787 -2.671 3.337
```

Output
The value obtained for the formation energy without anion corrections is -658.3 meV per atom.